Entry 1:
The following is a DFT calculation (meta-GGA SCAN) of SbH3O at its PBEsol-relaxed geometry.

Output
ρ: 5.8 Mg/m³
VASP energy: -48.82 eV/f.u.

Unit cell a=3.424 b=3.424 c=3.424 alpha=90.00 beta=90.00 gamma=90.00
Fractional coordinates of all 5 atoms:
Sb: 0.500 0.500 0.500
H: 0.000 0.000 0.500
H: 0.000 0.500 0.000
H: 0.500 0.000 0.000
O: 0.000 0.000 0.000



Entry 2:
The following is a DFT calculation (meta-GGA SCAN) of Sb2TeHO at its PBEsol-relaxed geometry.

Output
ρ: 7.1 Mg/m³
VASP energy: -117.82 eV/f.u.

Unit cell a=4.035 b=4.746 c=4.746 alpha=90.00 beta=90.00 gamma=90.00
Each line ends with the local moment (μB).
Fractional coordinates of all 5 atoms:
Te: 0.500 0.000 0.000  0.01
H: 0.000 0.000 0.000  0.00
Sb: 0.000 0.000 0.500  0.01
Sb: 0.000 0.500 0.000  0.01
O: 0.500 0.500 0.500  0.58



Entry 3:
The following is a DFT calculation (meta-GGA SCAN) of SbTe2HO at its PBEsol-relaxed geometry.

Output
ρ: 6.2 Mg/m³
VASP energy: -118.20 eV/f.u.

Unit cell a=4.649 b=4.777 c=4.777 alpha=90.00 beta=90.00 gamma=90.00
Each line ends with the local moment (μB).
Fractional coordinates of all 5 atoms:
Sb: 0.500 0.000 0.000  -0.03
Te: 0.000 0.000 0.500  0.04
Te: 0.000 0.500 0.000  0.04
O: 0.000 0.000 0.000  0.02
H: 0.500 0.500 0.500  0.34



Entry 4:
The following is a DFT calculation (meta-GGA SCAN) of Sc2HO at its PBEsol-relaxed geometry.

Output
ρ: 2.8 Mg/m³
VASP energy: -43.26 eV/f.u.

Unit cell a=3.407 b=3.407 c=6.552 alpha=74.93 beta=74.93 gamma=60.00
Each line ends with the local moment (μB).
Fractional coordinates of all 4 atoms:
O: 0.000 0.000 0.000  0.00
Sc: 0.900 0.900 0.299  0.18
Sc: 0.100 0.100 0.701  0.18
H: 0.500 0.500 0.500  0.00



Entry 5:
The following is a DFT calculation (meta-GGA SCAN) of ScHO2 at its PBEsol-relaxed geometry.

Output
ρ: 3.3 Mg/m³
VASP energy: -41.54 eV/f.u.

Unit cell a=3.202 b=4.724 c=10.221 alpha=90.00 beta=90.00 gamma=90.00
Fractional coordinates of all 16 atoms:
H: 0.750 0.889 0.402
H: 0.750 0.611 0.902
H: 0.250 0.111 0.598
H: 0.250 0.389 0.098
O: 0.750 0.171 0.308
O: 0.750 0.811 0.938
O: 0.750 0.329 0.808
O: 0.750 0.689 0.438
O: 0.250 0.311 0.562
O: 0.250 0.189 0.062
O: 0.250 0.671 0.192
O: 0.250 0.829 0.692
Sc: 0.750 0.922 0.143
Sc: 0.250 0.422 0.357
Sc: 0.250 0.078 0.857
Sc: 0.750 0.578 0.643



Entry 6:
The following is a DFT calculation (meta-GGA SCAN) of ScHO2 at its PBEsol-relaxed geometry.

Output
ρ: 3.3 Mg/m³
VASP energy: -41.26 eV/f.u.

Unit cell a=3.198 b=3.198 c=8.990 alpha=90.00 beta=90.00 gamma=120.00
Fractional coordinates of all 8 atoms:
Sc: 0.000 0.000 0.500
Sc: 0.000 0.000 0.000
O: 0.667 0.333 0.885
O: 0.333 0.667 0.385
O: 0.667 0.333 0.615
O: 0.333 0.667 0.115
H: 0.667 0.333 0.750
H: 0.333 0.667 0.250



Entry 7:
The following is a DFT calculation (meta-GGA SCAN) of ScHO2 at its PBEsol-relaxed geometry.

Output
ρ: 3.7 Mg/m³
VASP energy: -41.41 eV/f.u.

Unit cell a=3.322 b=4.094 c=5.528 alpha=109.71 beta=90.00 gamma=90.00
Fractional coordinates of all 8 atoms:
O: 0.750 0.769 0.557
O: 0.750 0.750 0.061
O: 0.250 0.231 0.443
O: 0.250 0.250 0.939
H: 0.250 0.003 0.918
H: 0.750 0.997 0.082
Sc: 0.250 0.666 0.313
Sc: 0.750 0.334 0.687



Entry 8:
The following is a DFT calculation (meta-GGA SCAN) of ScHO2 at its PBEsol-relaxed geometry.

Output
ρ: 3.3 Mg/m³
VASP energy: -41.27 eV/f.u.

Unit cell a=3.200 b=3.200 c=4.854 alpha=70.75 beta=70.75 gamma=60.00
Fractional coordinates of all 4 atoms:
H: 0.000 0.000 0.000
O: 0.910 0.910 0.270
O: 0.090 0.090 0.730
Sc: 0.500 0.500 0.500